[1]
V2TcPtN: optimized geometry, PBE.

Values from the calculation:
Raw formation energy   -0.57 eV per atom
SG   P4/mmm (123)
Crystal system   tetragonal

Lattice parameters (Å, degrees): 3.969 3.969 3.987 90.00 90.00 90.00
Fractional coordinates of all 5 atoms:
V (0.000, 0.500, 0.000)
V (0.500, 0.000, 0.000)
Tc (0.000, 0.000, 0.500)
Pt (0.500, 0.500, 0.500)
N (0.000, 0.000, 0.000)

***

[2]
Tb6AlSe4: optimized geometry, PBE.

Values from the calculation:
Raw formation energy   -1.36 eV per atom
SG   Cmcm (63)
Crystal system   orthorhombic

Lattice parameters (Å, degrees): 7.042 7.042 20.864 90.00 90.00 146.81
Fractional coordinates of all 22 atoms:
Tb (0.000, 0.000, 0.000)
Tb (0.000, 0.000, 0.500)
Tb (0.159, 0.841, 0.750)
Tb (0.271, 0.729, 0.096)
Tb (0.271, 0.729, 0.404)
Tb (0.445, 0.555, 0.666)
Tb (0.445, 0.555, 0.834)
Tb (0.555, 0.445, 0.166)
Tb (0.555, 0.445, 0.334)
Tb (0.729, 0.271, 0.596)
Tb (0.729, 0.271, 0.904)
Tb (0.841, 0.159, 0.250)
Al (0.174, 0.826, 0.250)
Al (0.826, 0.174, 0.750)
Se (0.084, 0.916, 0.624)
Se (0.084, 0.916, 0.876)
Se (0.358, 0.642, 0.537)
Se (0.358, 0.642, 0.963)
Se (0.642, 0.358, 0.037)
Se (0.642, 0.358, 0.463)
Se (0.916, 0.084, 0.124)
Se (0.916, 0.084, 0.376)

***

[3]
La2CeTm: optimized geometry, PBE.

Values from the calculation:
ΔH_f (0 K)   66.0 meV/atom
SG   P4/mmm (123)
Crystal system   tetragonal

Lattice parameters (Å, degrees): 3.575 3.575 10.168 90.00 90.00 90.00
Fractional coordinates of all 4 atoms:
La (0.000, 0.000, 0.241)
La (0.000, 0.000, 0.759)
Ce (0.500, 0.500, 0.000)
Tm (0.500, 0.500, 0.500)

***

[4]
Sr5SmTl6: optimized geometry, PBE.

Values from the calculation:
ΔH_f (0 K)   -411.6 meV/atom
SG   Cmmm (65)
Crystal system   orthorhombic

Lattice parameters (Å, degrees): 9.104 9.104 8.080 90.00 90.00 143.22
Fractional coordinates of all 12 atoms:
Sr (0.000, 0.000, 0.000)
Sr (0.330, 0.670, 0.500)
Sr (0.331, 0.669, 0.000)
Sr (0.669, 0.331, 0.000)
Sr (0.670, 0.330, 0.500)
Sm (0.000, 0.000, 0.500)
Tl (0.160, 0.840, 0.261)
Tl (0.160, 0.840, 0.739)
Tl (0.500, 0.500, 0.265)
Tl (0.500, 0.500, 0.735)
Tl (0.840, 0.160, 0.261)
Tl (0.840, 0.160, 0.739)

***

[5]
Mg2AlW: optimized geometry, PBE.

Values from the calculation:
ΔH_f (0 K)   314.7 meV/atom
SG   P4mm (99)
Crystal system   tetragonal

Lattice parameters (Å, degrees): 3.230 3.230 6.993 90.00 90.00 90.00
Fractional coordinates of all 4 atoms:
Mg (0.000, 0.000, 0.000)
Mg (0.500, 0.500, 0.295)
Al (0.500, 0.500, 0.735)
W (0.000, 0.000, 0.543)

***

For the records above, the corresponding density values read 10.8; 7.6; 7.5; 7.5; 5.9 Mg/m³.